1.
Computed, not measured: an optimized crystal structure of TbPm5Pr2Sm at the GGA-PBE level of DFT.

Unit cell a=10.214 b=10.214 c=10.214 alpha=129.06 beta=129.06 gamma=74.91
Atoms (fractional coordinates):
Tb: 0.250 0.750 0.500
Tb: 0.750 0.250 0.500
Pm: 0.000 0.000 0.000
Pm: 0.071 0.571 0.923
Pm: 0.148 0.071 0.500
Pm: 0.352 0.852 0.923
Pm: 0.429 0.352 0.500
Pm: 0.500 0.500 0.000
Pm: 0.571 0.648 0.500
Pm: 0.648 0.148 0.077
Pm: 0.852 0.929 0.500
Pm: 0.929 0.429 0.077
Pr: 0.120 0.380 0.500
Pr: 0.380 0.880 0.261
Pr: 0.620 0.120 0.739
Pr: 0.880 0.620 0.500
Sm: 0.250 0.250 0.000
Sm: 0.750 0.750 0.000

Output
E: -80.579 eV for the cell shown
Crystal system: tetragonal
Energy of formation from the pure elements: 0.264 eV/atom

2.
Computed, not measured: an optimized crystal structure of Tb6PmPr3Sm2 at the GGA-PBE level of DFT.

Unit cell a=6.280 b=6.280 c=11.923 alpha=95.02 beta=95.02 gamma=120.00
Atoms (fractional coordinates):
Tb: 0.084 0.417 0.752
Tb: 0.249 0.249 0.248
Tb: 0.417 0.084 0.752
Tb: 0.583 0.916 0.248
Tb: 0.751 0.751 0.752
Tb: 0.916 0.583 0.248
Pm: 0.500 0.500 0.000
Pr: 0.000 0.000 0.500
Pr: 0.333 0.667 0.500
Pr: 0.667 0.333 0.500
Sm: 0.167 0.833 0.000
Sm: 0.833 0.167 0.000

Output
E: -56.159 eV for the cell shown
Crystal system: monoclinic
Energy of formation from the pure elements: 0.012 eV/atom

3.
Computed, not measured: an optimized crystal structure of Tb4Pm2Pr2Sm at the GGA-PBE level of DFT.

Unit cell a=9.657 b=9.657 c=9.713 alpha=115.23 beta=115.23 gamma=21.82
Atoms (fractional coordinates):
Tb: 0.019 0.019 0.333
Tb: 0.315 0.315 0.664
Tb: 0.685 0.685 0.336
Tb: 0.981 0.981 0.667
Pm: 0.353 0.353 0.337
Pm: 0.647 0.647 0.663
Pr: 0.166 0.166 0.001
Pr: 0.834 0.834 0.999
Sm: 0.500 0.500 0.000

Output
E: -42.276 eV for the cell shown
Crystal system: monoclinic
Energy of formation from the pure elements: 0.003 eV/atom

4.
Computed, not measured: an optimized crystal structure of Tb6Pm2Pr3Sm at the GGA-PBE level of DFT.

Unit cell a=6.285 b=6.285 c=11.921 alpha=95.03 beta=95.03 gamma=120.00
Atoms (fractional coordinates):
Tb: 0.084 0.417 0.752
Tb: 0.249 0.249 0.248
Tb: 0.417 0.084 0.752
Tb: 0.583 0.916 0.248
Tb: 0.751 0.751 0.752
Tb: 0.916 0.583 0.248
Pm: 0.167 0.833 0.000
Pm: 0.833 0.167 0.000
Pr: 0.000 0.000 0.500
Pr: 0.333 0.667 0.500
Pr: 0.667 0.333 0.500
Sm: 0.500 0.500 0.000

Output
E: -56.196 eV for the cell shown
Crystal system: monoclinic
Energy of formation from the pure elements: 0.012 eV/atom

5.
Computed, not measured: an optimized crystal structure of Tb2PmPr2Sm at the GGA-PBE level of DFT.

Unit cell a=7.085 b=5.764 c=9.966 alpha=90.00 beta=90.00 gamma=90.00
Atoms (fractional coordinates):
Tb: 0.250 0.000 0.166
Tb: 0.250 0.500 0.667
Tb: 0.750 0.000 0.834
Tb: 0.750 0.500 0.333
Pm: 0.000 0.000 0.500
Pm: 0.500 0.000 0.500
Pr: 0.000 0.500 0.000
Pr: 0.250 0.000 0.830
Pr: 0.500 0.500 0.000
Pr: 0.750 0.000 0.170
Sm: 0.250 0.500 0.336
Sm: 0.750 0.500 0.664

Output
E: -55.853 eV for the cell shown
Crystal system: orthorhombic
Energy of formation from the pure elements: 0.060 eV/atom

6.
Computed, not measured: an optimized crystal structure of Tb3PmPr2Sm6 at the GGA-PBE level of DFT.

Unit cell a=6.288 b=6.288 c=12.029 alpha=95.00 beta=95.00 gamma=120.00
Atoms (fractional coordinates):
Tb: 0.000 0.000 0.000
Tb: 0.333 0.667 0.000
Tb: 0.667 0.333 0.000
Pm: 0.500 0.500 0.500
Pr: 0.167 0.833 0.500
Pr: 0.833 0.167 0.500
Sm: 0.083 0.415 0.246
Sm: 0.252 0.252 0.754
Sm: 0.415 0.083 0.246
Sm: 0.585 0.917 0.754
Sm: 0.748 0.748 0.246
Sm: 0.917 0.585 0.754

Output
E: -56.333 eV for the cell shown
Crystal system: monoclinic
Energy of formation from the pure elements: 0.015 eV/atom

7.
Computed, not measured: an optimized crystal structure of TbPmPrSm at the GGA-PBE level of DFT.

Unit cell a=8.176 b=8.176 c=8.176 alpha=90.00 beta=90.00 gamma=90.00
Atoms (fractional coordinates):
Tb: 0.000 0.000 0.000
Tb: 0.000 0.500 0.500
Tb: 0.500 0.000 0.500
Tb: 0.500 0.500 0.000
Pm: 0.250 0.250 0.750
Pm: 0.250 0.750 0.250
Pm: 0.750 0.250 0.250
Pm: 0.750 0.750 0.750
Pr: 0.250 0.250 0.250
Pr: 0.250 0.750 0.750
Pr: 0.750 0.250 0.750
Pr: 0.750 0.750 0.250
Sm: 0.000 0.000 0.500
Sm: 0.000 0.500 0.000
Sm: 0.500 0.000 0.000
Sm: 0.500 0.500 0.500

Output
E: -73.426 eV for the cell shown
Crystal system: cubic
Energy of formation from the pure elements: 0.131 eV/atom
Distance to the lowest polymorph of the same formula: 0.1123 eV/atom

8.
Computed, not measured: an optimized crystal structure of TbPm3Pr6Sm2 at the GGA-PBE level of DFT.

Unit cell a=6.374 b=6.374 c=12.124 alpha=95.04 beta=95.04 gamma=120.02
Atoms (fractional coordinates):
Tb: 0.000 0.000 0.000
Pm: 0.167 0.833 0.500
Pm: 0.500 0.500 0.500
Pm: 0.833 0.167 0.500
Pr: 0.083 0.416 0.249
Pr: 0.250 0.250 0.751
Pr: 0.416 0.083 0.249
Pr: 0.584 0.917 0.751
Pr: 0.750 0.750 0.249
Pr: 0.917 0.584 0.751
Sm: 0.333 0.667 0.000
Sm: 0.667 0.333 0.000

Output
E: -56.855 eV for the cell shown
Crystal system: monoclinic
Energy of formation from the pure elements: 0.012 eV/atom

9.
Computed, not measured: an optimized crystal structure of Tb3PmPrSm at the GGA-PBE level of DFT.

Unit cell a=10.469 b=10.469 c=7.052 alpha=90.10 beta=90.10 gamma=31.48
Atoms (fractional coordinates):
Tb: 0.023 0.023 0.246
Tb: 0.279 0.279 0.252
Tb: 0.336 0.336 0.757
Tb: 0.664 0.664 0.243
Tb: 0.721 0.721 0.748
Tb: 0.977 0.977 0.754
Pm: 0.445 0.445 0.245
Pm: 0.555 0.555 0.755
Pr: 0.147 0.147 0.533
Pr: 0.853 0.853 0.467
Sm: 0.148 0.148 0.962
Sm: 0.852 0.852 0.038

Output
E: -54.113 eV for the cell shown
Crystal system: monoclinic
Energy of formation from the pure elements: 0.181 eV/atom

10.
Computed, not measured: an optimized crystal structure of TbPmPr2Sm at the GGA-PBE level of DFT.

Unit cell a=8.222 b=6.800 c=6.324 alpha=90.00 beta=90.04 gamma=90.00
Atoms (fractional coordinates):
Tb: 0.000 0.161 0.250
Tb: 0.000 0.839 0.750
Pm: 0.500 0.419 0.250
Pm: 0.500 0.581 0.750
Pr: 0.197 0.303 0.751
Pr: 0.197 0.697 0.251
Pr: 0.803 0.303 0.749
Pr: 0.803 0.697 0.249
Sm: 0.500 0.000 0.000
Sm: 0.500 0.000 0.500

Output
E: -44.827 eV for the cell shown
Crystal system: monoclinic
Energy of formation from the pure elements: 0.249 eV/atom

11.
Computed, not measured: an optimized crystal structure of TbPm2Pr2Sm at the GGA-PBE level of DFT.

Unit cell a=6.820 b=17.938 c=3.440 alpha=90.00 beta=90.00 gamma=90.00
Atoms (fractional coordinates):
Tb: 0.000 0.000 0.000
Tb: 0.500 0.500 0.500
Pm: 0.242 0.178 0.000
Pm: 0.258 0.678 0.500
Pm: 0.742 0.322 0.500
Pm: 0.758 0.822 0.000
Pr: 0.236 0.349 0.500
Pr: 0.264 0.849 0.000
Pr: 0.736 0.151 0.000
Pr: 0.764 0.651 0.500
Sm: 0.000 0.500 0.000
Sm: 0.500 0.000 0.500

Output
E: -53.890 eV for the cell shown
Crystal system: orthorhombic
Energy of formation from the pure elements: 0.244 eV/atom

12.
Computed, not measured: an optimized crystal structure of Tb4PmPrSm2 at the GGA-PBE level of DFT.

Unit cell a=9.577 b=9.577 c=6.873 alpha=111.02 beta=111.02 gamma=88.30
Atoms (fractional coordinates):
Tb: 0.249 0.250 0.499
Tb: 0.249 0.751 0.501
Tb: 0.249 0.751 0.999
Tb: 0.250 0.249 0.999
Tb: 0.750 0.751 0.001
Tb: 0.751 0.249 0.001
Tb: 0.751 0.249 0.499
Tb: 0.751 0.750 0.501
Pm: 0.500 0.500 0.000
Pm: 0.500 0.500 0.500
Pr: 0.000 0.500 0.000
Pr: 0.500 0.000 0.500
Sm: 0.000 0.000 0.000
Sm: 0.000 0.000 0.500
Sm: 0.000 0.500 0.500
Sm: 0.500 0.000 0.000

Output
E: -68.496 eV for the cell shown
Crystal system: monoclinic
Energy of formation from the pure elements: 0.405 eV/atom